# 1
DFT (GGA+U) results for HfCrSbO6 after structural relaxation.

The value obtained for the volume is 210.73 Å³ per cell. For the raw total energy, the calculation gives -7.824 eV per atom. Its size of the total moment is 6.00 μB per cell.

The space group is P-31c (No. 163) and the conventional cell measures 5.2600, 5.2600 and 8.7946 Å, with angles of 90.00, 90.00 and 120.00 degrees. The inequivalent atoms are Hf at (0.3333, 0.6667, 0.2500), Cr at (0.0000, 0.0000, 0.0000), Sb at (0.3333, 0.6667, 0.7500) and O at (0.0102, 0.3403, 0.6273).

=====

# 2
DFT (GGA+U) results for HfScCr2O6 after structural relaxation.

The value obtained for the volume is 116.98 Å³ per cell. For the raw total energy, the calculation gives -8.814 eV per atom. Its size of the total moment is 7.00 μB per cell.

The space group is P1 (No. 1) and the conventional cell measures 5.2316, 5.3319 and 5.6032 Å, with angles of 117.10, 90.05 and 118.79 degrees. The inequivalent atoms are Hf at (0.0000, 0.0000, 0.0000), Sc at (0.5069, 0.0076, 0.5103), Cr at (0.2079, 0.4173, 0.6089), Cr at (0.7184, 0.4352, 0.1353), O at (0.1360, 0.9612, 0.3318), O at (0.2785, 0.8791, 0.7975), O at (0.4022, 0.5198, 0.3218), O at (0.6070, 0.5365, 0.8279), O at (0.8162, 0.2213, 0.3239) and O at (0.9235, 0.2304, 0.8241).